RbGd2CuS4: optimized geometry, GGA-PBE.

Structure (CIF):
```
data_RbGd2CuS4
_chemical_formula_sum 'Rb2 Gd4 Cu2 S8'
_cell_length_a 7.213
_cell_length_b 7.213
_cell_length_c 13.841
_cell_angle_alpha 90.00
_cell_angle_beta 90.00
_cell_angle_gamma 147.72
_space_group_name_H-M_alt 'P 1'
_space_group_IT_number 1
_space_group_name_Hall 'P 1'
loop_
_atom_site_label
_atom_site_type_symbol
_atom_site_fract_x
_atom_site_fract_y
_atom_site_fract_z
Rb1 Rb 0.107 0.893 0.750
Rb2 Rb 0.893 0.107 0.250
Gd1 Gd 0.366 0.634 0.562
Gd2 Gd 0.366 0.634 0.938
Gd3 Gd 0.634 0.366 0.062
Gd4 Gd 0.634 0.366 0.438
Cu1 Cu 0.164 0.836 0.250
Cu2 Cu 0.836 0.164 0.750
S1 S 0.000 0.000 0.000
S2 S 0.000 0.000 0.500
S3 S 0.260 0.740 0.110
S4 S 0.260 0.740 0.390
S5 S 0.425 0.575 0.750
S6 S 0.575 0.425 0.250
S7 S 0.740 0.260 0.610
S8 S 0.740 0.260 0.890
```

Results
The space group is Cmcm, No. 63. The total energy is -5.468 eV/atom.